A plane-wave DFT calculation with PBE was carried out for Dy3In3IrPt after structural relaxation.

Cell lengths 7.651, 7.651, 3.672 Å; angles 90.00, 90.00, 120.00 degrees
Sites, in units of the cell vectors:
Pt 0.333 0.667 0.000
In 0.899 0.568 0.000
In 0.432 0.331 0.000
In 0.669 0.101 0.000
Dy 0.242 0.916 0.500
Dy 0.674 0.758 0.500
Dy 0.084 0.326 0.500
Ir 0.000 0.000 0.000

Final energy, eV per atom: -5.390

---

A plane-wave DFT calculation with PBE was carried out for Dy3InSn2Ir2Pt after structural relaxation.

Cell lengths 3.896, 7.568, 7.568 Å; angles 119.88, 90.00, 90.00 degrees
Sites, in units of the cell vectors:
Dy 0.500 0.594 0.999
Dy 0.500 0.999 0.594
Dy 0.500 0.409 0.409
Sn 0.000 0.264 0.000
Sn 0.000 0.000 0.264
Ir 0.000 0.329 0.666
Ir 0.000 0.666 0.329
In 0.000 0.736 0.736
Pt 0.500 0.004 0.004

Final energy, eV per atom: -6.241

---

A plane-wave DFT calculation with PBE was carried out for Dy3In2SnIr2Pt after structural relaxation.

Cell lengths 3.933, 7.559, 7.559 Å; angles 120.24, 90.00, 90.00 degrees
Sites, in units of the cell vectors:
Dy 0.000 0.409 0.001
Dy 0.000 0.592 0.592
Dy 0.000 0.001 0.409
In 0.500 0.000 0.739
In 0.500 0.739 0.000
Pt 0.000 0.004 0.004
Sn 0.500 0.261 0.261
Ir 0.500 0.332 0.662
Ir 0.500 0.662 0.332

Final energy, eV per atom: -6.061

---

A plane-wave DFT calculation with PBE was carried out for Dy3In2SnIr3 after structural relaxation.

Cell lengths 3.932, 7.538, 7.538 Å; angles 120.34, 90.00, 90.00 degrees
Sites, in units of the cell vectors:
Ir 0.000 0.662 0.331
Ir 0.500 0.007 0.007
Ir 0.000 0.331 0.662
In 0.000 0.741 0.000
In 0.000 0.000 0.741
Dy 0.500 0.001 0.407
Dy 0.500 0.407 0.001
Dy 0.500 0.594 0.594
Sn 0.000 0.257 0.257

Final energy, eV per atom: -6.288

---

A plane-wave DFT calculation with PBE was carried out for Dy2InSnIr4 after structural relaxation.

Cell lengths 4.797, 4.797, 6.457 Å; angles 90.00, 90.00, 90.00 degrees
Sites, in units of the cell vectors:
Ir 0.000 0.500 0.247
Ir 0.500 0.000 0.753
Ir 0.000 0.500 0.753
Ir 0.500 0.000 0.247
Dy 0.500 0.500 0.000
Dy 0.000 0.000 0.500
Sn 0.000 0.000 0.000
In 0.500 0.500 0.500

Final energy, eV per atom: -6.919

---

A plane-wave DFT calculation with PBE was carried out for TbDyIn4Ir2 after structural relaxation.

Cell lengths 8.054, 5.531, 5.531 Å; angles 45.99, 90.00, 90.00 degrees
Sites, in units of the cell vectors:
Ir 0.500 0.279 0.279
Ir 0.000 0.721 0.721
In 0.300 0.858 0.858
In 0.199 0.142 0.142
In 0.801 0.142 0.142
In 0.700 0.858 0.858
Dy 0.000 0.429 0.429
Tb 0.500 0.571 0.571

Final energy, eV per atom: -5.278

---

A plane-wave DFT calculation with PBE was carried out for Dy2TmIn3Ir2 after structural relaxation.

Cell lengths 3.652, 7.591, 7.591 Å; angles 119.85, 90.00, 90.00 degrees
Sites, in units of the cell vectors:
Ir 0.000 0.666 0.335
Ir 0.000 0.335 0.666
In 0.000 0.765 0.999
In 0.000 0.999 0.765
In 0.000 0.236 0.236
Dy 0.500 0.422 0.000
Dy 0.500 0.000 0.422
Tm 0.500 0.577 0.577

Final energy, eV per atom: -5.602

---

A plane-wave DFT calculation with PBE was carried out for Dy2YIn3Ir2 after structural relaxation.

Cell lengths 3.687, 7.609, 7.609 Å; angles 120.13, 90.00, 90.00 degrees
Sites, in units of the cell vectors:
Dy 0.000 0.578 0.000
Dy 0.000 0.000 0.578
Ir 0.500 0.669 0.332
Ir 0.500 0.332 0.669
Y 0.000 0.421 0.421
In 0.500 0.235 0.000
In 0.500 0.765 0.765
In 0.500 0.000 0.235

Final energy, eV per atom: -5.845

---

Which of these has the lowest final energy? Dy2InSnIr4